1.
Zr2CdIr: optimized geometry, PBE-GGA.

ΔE_f   -0.436 eV per atom
Symmetry   P2/m, No. 10

Cell and atoms, written as CIF:
```
data_Zr2CdIr
_space_group_name_H-M_alt 'P 1'
_space_group_IT_number 1
_cell_length_a 3.3794
_cell_length_b 3.3262
_cell_length_c 7.1321
_cell_angle_alpha 90.00
_cell_angle_beta 90.16
_cell_angle_gamma 90.00
loop_
_space_group_symop_operation_xyz
'x,y,z'
loop_
_atom_site_label
_atom_site_type_symbol
_atom_site_fract_x
_atom_site_fract_y
_atom_site_fract_z
Zr1 Zr 0.0019 0.0000 0.2771
Zr2 Zr 0.9981 0.0000 0.7229
Cd1 Cd 0.5000 0.5000 0.0000
Ir1 Ir 0.5000 0.5000 0.5000
```

=====

2.
RbYI2Br: optimized geometry, PBE-GGA.

Raw formation energy   -1.33 eV/atom
Symmetry   P4/mmm, No. 123

Cell and atoms, written as CIF:
```
data_RbYI2Br
_space_group_name_H-M_alt 'P 1'
_space_group_IT_number 1
_cell_length_a 6.0974
_cell_length_b 6.0974
_cell_length_c 5.6368
_cell_angle_alpha 90.00
_cell_angle_beta 90.00
_cell_angle_gamma 90.00
loop_
_space_group_symop_operation_xyz
'x,y,z'
loop_
_atom_site_label
_atom_site_type_symbol
_atom_site_fract_x
_atom_site_fract_y
_atom_site_fract_z
Rb1 Rb 0.0000 0.0000 0.0000
Y1 Y 0.5000 0.5000 0.5000
I1 I 0.0000 0.5000 0.5000
I2 I 0.5000 0.0000 0.5000
Br1 Br 0.5000 0.5000 0.0000
```

=====

3.
TaAgAu2: optimized geometry, PBE-GGA.

ΔE_f   0.060 eV per atom
Symmetry   P4mm, No. 99

Cell and atoms, written as CIF:
```
data_TaAgAu2
_space_group_name_H-M_alt 'P 1'
_space_group_IT_number 1
_cell_length_a 2.9098
_cell_length_b 2.9098
_cell_length_c 8.4350
_cell_angle_alpha 90.00
_cell_angle_beta 90.00
_cell_angle_gamma 90.00
loop_
_space_group_symop_operation_xyz
'x,y,z'
loop_
_atom_site_label
_atom_site_type_symbol
_atom_site_fract_x
_atom_site_fract_y
_atom_site_fract_z
Ta1 Ta 0.0000 0.0000 0.0000
Ag1 Ag 0.5000 0.5000 0.2514
Au1 Au 0.0000 0.0000 0.5025
Au2 Au 0.5000 0.5000 0.7607
```

=====

4.
Si2GeIr2: optimized geometry, PBE-GGA.

Raw formation energy   -0.36 eV/atom
Symmetry   I4/mmm, No. 139
Polymorph energy (0 for the lowest one)   0 meV per atom

Cell and atoms, written as CIF:
```
data_Si2GeIr2
_space_group_name_H-M_alt 'P 1'
_space_group_IT_number 1
_cell_length_a 6.4174
_cell_length_b 6.4174
_cell_length_c 6.4174
_cell_angle_alpha 146.67
_cell_angle_beta 146.67
_cell_angle_gamma 47.86
loop_
_space_group_symop_operation_xyz
'x,y,z'
loop_
_atom_site_label
_atom_site_type_symbol
_atom_site_fract_x
_atom_site_fract_y
_atom_site_fract_z
Si1 Si 0.2500 0.7500 0.5000
Si2 Si 0.7500 0.2500 0.5000
Ge1 Ge 0.0000 0.0000 0.0000
Ir1 Ir 0.3785 0.3785 0.0000
Ir2 Ir 0.6215 0.6215 0.0000
```

=====

5.
Sc2Ga3Fe: optimized geometry, PBE-GGA.

ΔE_f   -0.164 eV per atom
Symmetry   Immm, No. 71

Cell and atoms, written as CIF:
```
data_Sc2Ga3Fe
_space_group_name_H-M_alt 'P 1'
_space_group_IT_number 1
_cell_length_a 5.8567
_cell_length_b 5.8567
_cell_length_c 5.8567
_cell_angle_alpha 135.53
_cell_angle_beta 125.91
_cell_angle_gamma 72.53
loop_
_space_group_symop_operation_xyz
'x,y,z'
loop_
_atom_site_label
_atom_site_type_symbol
_atom_site_fract_x
_atom_site_fract_y
_atom_site_fract_z
Sc1 Sc 0.1928 0.1928 0.0000
Sc2 Sc 0.8072 0.8072 0.0000
Ga1 Ga 0.0000 0.5000 0.5000
Ga2 Ga 0.3682 0.8682 0.5000
Ga3 Ga 0.6318 0.1318 0.5000
Fe1 Fe 0.5000 0.5000 0.0000
```

=====

6.
TcPdBr: optimized geometry, PBE-GGA.

Raw formation energy   0.50 eV/atom
Symmetry   Amm2, No. 38
Polymorph energy (0 for the lowest one)   450 meV per atom

Cell and atoms, written as CIF:
```
data_TcPdBr
_space_group_name_H-M_alt 'P 1'
_space_group_IT_number 1
_cell_length_a 12.9468
_cell_length_b 3.0706
_cell_length_c 3.0706
_cell_angle_alpha 60.00
_cell_angle_beta 90.00
_cell_angle_gamma 90.00
loop_
_space_group_symop_operation_xyz
'x,y,z'
loop_
_atom_site_label
_atom_site_type_symbol
_atom_site_fract_x
_atom_site_fract_y
_atom_site_fract_z
Tc1 Tc 0.1608 0.0000 0.0000
Tc2 Tc 0.8392 0.0000 0.0000
Pd1 Pd 0.0000 0.3334 0.3334
Pd2 Pd 0.5000 0.3260 0.3260
Br1 Br 0.3046 0.3329 0.3329
Br2 Br 0.6954 0.3329 0.3329
```